No. 1
! Ba2LiAs2 PBE-GGA optimized geometry; values from VASP
&SYSTEM
  ibrav = 0, nat = 10, ntyp = 3
/
ATOMIC_SPECIES
Ba 137.33 Ba.upf
Li 6.94 Li.upf
As 74.92 As.upf
CELL_PARAMETERS angstrom
8.357 0.000 0.000
0.000 8.357 0.000
0.000 0.000 4.630
ATOMIC_POSITIONS crystal
Ba 0.153 0.347 0.000
Ba 0.347 0.847 0.000
Ba 0.653 0.153 0.000
Ba 0.847 0.653 0.000
Li 0.000 0.000 0.500
Li 0.500 0.500 0.500
As 0.149 0.649 0.500
As 0.351 0.149 0.500
As 0.649 0.851 0.500
As 0.851 0.351 0.500
! formation energy: -362.2 kJ/mol of formula units
! DFT total energy: -3.76 eV/atom
! symmetry: P4/mbm (127)
! excess energy over the best structure of this formula in the dataset: 211 meV/atom

No. 2
! Ba2LiAs PBE-GGA optimized geometry; values from VASP
&SYSTEM
  ibrav = 0, nat = 4, ntyp = 3
/
ATOMIC_SPECIES
Ba 137.33 Ba.upf
Li 6.94 Li.upf
As 74.92 As.upf
CELL_PARAMETERS angstrom
-2.413 2.413 5.671
2.413 -2.413 5.671
2.413 2.413 -5.671
ATOMIC_POSITIONS crystal
Ba 0.000 0.000 0.000
Ba 0.750 0.250 0.500
Li 0.250 0.750 0.500
As 0.500 0.500 0.000
! formation energy: -150.0 kJ/mol of formula units
! DFT total energy: -2.99 eV/atom
! symmetry: I-4m2 (119)

No. 3
! Ba3Li4As4 PBE-GGA optimized geometry; values from VASP
&SYSTEM
  ibrav = 0, nat = 11, ntyp = 3
/
ATOMIC_SPECIES
Ba 137.33 Ba.upf
Li 6.94 Li.upf
As 74.92 As.upf
CELL_PARAMETERS angstrom
-2.370 3.627 7.911
2.370 -3.627 7.911
2.370 3.627 -7.911
ATOMIC_POSITIONS crystal
Ba 0.000 0.000 0.000
Ba 0.369 0.869 0.500
Ba 0.631 0.131 0.500
Li 0.017 0.323 0.694
Li 0.371 0.677 0.694
Li 0.629 0.323 0.306
Li 0.983 0.677 0.306
As 0.213 0.213 0.000
As 0.326 0.500 0.826
As 0.674 0.500 0.174
As 0.787 0.787 0.000
! formation energy: -986.5 kJ/mol of formula units
! DFT total energy: -3.84 eV/atom
! symmetry: Immm (71)

No. 4
! BaLi3As2 PBE-GGA optimized geometry; values from VASP
&SYSTEM
  ibrav = 0, nat = 12, ntyp = 3
/
ATOMIC_SPECIES
Ba 137.33 Ba.upf
Li 6.94 Li.upf
As 74.92 As.upf
CELL_PARAMETERS angstrom
8.003 -2.247 0.000
8.003 2.247 0.000
-3.271 0.000 7.262
ATOMIC_POSITIONS crystal
Ba 0.151 0.151 0.083
Ba 0.849 0.849 0.917
Li 0.027 0.027 0.350
Li 0.316 0.316 0.548
Li 0.398 0.398 0.311
Li 0.602 0.602 0.689
Li 0.684 0.684 0.452
Li 0.973 0.973 0.650
As 0.176 0.176 0.658
As 0.481 0.481 0.830
As 0.519 0.519 0.170
As 0.824 0.824 0.342
! formation energy: -487.0 kJ/mol of formula units
! DFT total energy: -3.67 eV/atom
! symmetry: C2/m (12)

No. 5
! BaLiAs PBE-GGA optimized geometry; values from VASP
&SYSTEM
  ibrav = 0, nat = 6, ntyp = 3
/
ATOMIC_SPECIES
Ba 137.33 Ba.upf
Li 6.94 Li.upf
As 74.92 As.upf
CELL_PARAMETERS angstrom
4.689 0.000 0.000
0.000 4.689 0.000
0.000 0.000 7.341
ATOMIC_POSITIONS crystal
Ba 0.250 0.250 0.183
Ba 0.750 0.750 0.817
Li 0.250 0.750 0.500
Li 0.750 0.250 0.500
As 0.250 0.250 0.705
As 0.750 0.750 0.295
! formation energy: -284.2 kJ/mol of formula units
! DFT total energy: -3.81 eV/atom
! symmetry: P4/nmm (129)

No. 6
! BaLi4As PBE-GGA optimized geometry; values from VASP
&SYSTEM
  ibrav = 0, nat = 6, ntyp = 3
/
ATOMIC_SPECIES
Ba 137.33 Ba.upf
Li 6.94 Li.upf
As 74.92 As.upf
CELL_PARAMETERS angstrom
0.000 4.109 4.109
4.109 0.000 4.109
4.109 4.109 0.000
ATOMIC_POSITIONS crystal
Ba 0.000 0.000 0.000
Li 0.130 0.623 0.623
Li 0.623 0.130 0.623
Li 0.623 0.623 0.130
Li 0.623 0.623 0.623
As 0.250 0.250 0.250
! formation energy: -96.9 kJ/mol of formula units
! DFT total energy: -2.54 eV/atom
! symmetry: F-43m (216)

Q: Look up the DFT total energy of the third one.
A: -3.84 eV/atom